Run one
Density functional theory data (PBE) for crystalline InWCl2 at its relaxed geometry.

## Properties
Calculated density ... 6.81 Mg/m³
Total moment ... 1.722 Bohr magnetons per cell

abc: 3.176 5.832 9.738
angles: 90.00 90.00 90.00
Space group Cmm2 (No. 35)
Asymmetric unit:
In  0.000  0.000  0.000 (multiplicity 2)
W  0.000  0.500  0.238 (multiplicity 2)
Cl  0.000  0.000  0.425 (multiplicity 2)
Cl  0.000  0.500  0.790 (multiplicity 2)

Run two
Density functional theory data (PBE) for crystalline InWCl2 at its relaxed geometry.

## Properties
Calculated density ... 5.33 Mg/m³
Total moment ... 0.000 Bohr magnetons per cell

abc: 5.911 5.911 13.188
angles: 90.00 90.00 90.00
Space group I-42d (No. 122)
Asymmetric unit:
In  0.000  0.000  0.000 (multiplicity 4)
W  0.000  0.000  0.500 (multiplicity 4)
Cl  0.120  0.250  0.625 (multiplicity 8)

Relative energies, kJ/mol of atoms: run one 0.0; run two 55.6.

Run one
Density functional theory data (PBE) for crystalline InW2Cl at its relaxed geometry.

## Properties
Calculated density ... 10.70 Mg/m³
Total moment ... 0.000 Bohr magnetons per cell

abc: 3.900 3.900 21.141
angles: 90.00 90.00 90.00
Space group I-42d (No. 122)
Asymmetric unit:
In  0.000  0.000  0.000 (multiplicity 4)
W  0.209  0.250  0.125 (multiplicity 8)
Cl  0.000  0.000  0.500 (multiplicity 4)

Run two
Density functional theory data (PBE) for crystalline InW2Cl at its relaxed geometry.

## Properties
Calculated density ... 10.65 Mg/m³
Total moment ... 0.000 Bohr magnetons per cell

abc: 11.095 3.017 5.467
angles: 90.00 118.00 90.00
Space group Cm (No. 8)
Asymmetric unit:
In  0.000  0.000  0.000 (multiplicity 2)
W  0.053  0.500  0.539 (multiplicity 2)
W  0.241  0.000  0.588 (multiplicity 2)
Cl  0.312  0.500  0.297 (multiplicity 2)

Run three
Density functional theory data (PBE) for crystalline InW2Cl at its relaxed geometry.

## Properties
Calculated density ... 11.65 Mg/m³
Total moment ... 0.001 Bohr magnetons per cell

abc: 3.947 3.947 4.739
angles: 90.00 90.00 90.00
Space group P4/mmm (No. 123)
Asymmetric unit:
In  0.000  0.000  0.000 (multiplicity 1)
W  0.000  0.500  0.500 (multiplicity 2)
Cl  0.500  0.500  0.000 (multiplicity 1)

Relative energies, kJ/mol of atoms: run one 32.7; run two 0.0; run three 61.1.

Run one
Density functional theory data (PBE) for crystalline InW2Cl at its relaxed geometry.

## Properties
Calculated density ... 10.62 Mg/m³
Total moment ... 0.000 Bohr magnetons per cell

abc: 3.250 4.990 9.987
angles: 90.00 90.00 90.00
Space group Cmm2 (No. 35)
Asymmetric unit:
In  0.000  0.000  0.000 (multiplicity 2)
W  0.000  0.000  0.457 (multiplicity 2)
W  0.000  0.500  0.259 (multiplicity 2)
Cl  0.000  0.500  0.660 (multiplicity 2)

Run two
Density functional theory data (PBE) for crystalline InW2Cl at its relaxed geometry.

## Properties
Calculated density ... 10.14 Mg/m³
Total moment ... 0.000 Bohr magnetons per cell

abc: 3.300 3.085 8.479
angles: 90.00 100.76 90.00
Space group Pm (No. 6)
Asymmetric unit:
In  0.000  0.000  0.000 (multiplicity 1)
W  0.190  0.000  0.396 (multiplicity 1)
W  0.607  0.500  0.223 (multiplicity 1)
Cl  0.302  0.500  0.629 (multiplicity 1)

Relative energies, kJ/mol of atoms: run one 18.7; run two 0.0.

Run one
Density functional theory data (PBE) for crystalline InW2Cl at its relaxed geometry.

## Properties
Calculated density ... 12.22 Mg/m³
Total moment ... 0.000 Bohr magnetons per cell

abc: 2.835 2.835 8.763
angles: 90.00 90.00 90.00
Space group P4/mmm (No. 123)
Asymmetric unit:
In  0.000  0.000  0.000 (multiplicity 1)
W  0.500  0.500  0.257 (multiplicity 2)
Cl  0.000  0.000  0.500 (multiplicity 1)

Run two
Density functional theory data (PBE) for crystalline InW2Cl at its relaxed geometry.

## Properties
Calculated density ... 12.01 Mg/m³
Total moment ... 0.000 Bohr magnetons per cell

abc: 4.361 4.361 7.533
angles: 90.00 90.00 90.00
Space group I-4m2 (No. 119)
Asymmetric unit:
In  0.000  0.000  0.000 (multiplicity 2)
W  0.000  0.000  0.500 (multiplicity 2)
W  0.000  0.500  0.750 (multiplicity 2)
Cl  0.000  0.500  0.250 (multiplicity 2)

Run three
Density functional theory data (PBE) for crystalline InW2Cl at its relaxed geometry.

## Properties
Calculated density ... 9.43 Mg/m³
Total moment ... 0.000 Bohr magnetons per cell

abc: 3.254 4.813 11.654
angles: 90.00 90.00 90.00
Space group Imm2 (No. 44)
Asymmetric unit:
In  0.000  0.000  0.000 (multiplicity 2)
W  0.000  0.000  0.473 (multiplicity 2)
W  0.000  0.500  0.127 (multiplicity 2)
Cl  0.000  0.500  0.774 (multiplicity 2)

Run four
Density functional theory data (PBE) for crystalline InW2Cl at its relaxed geometry.

## Properties
Calculated density ... 11.66 Mg/m³
Total moment ... 0.000 Bohr magnetons per cell

abc: 5.484 9.625 2.795
angles: 90.00 90.00 90.00
Space group Cmmm (No. 65)
Asymmetric unit:
In  0.000  0.000  0.000 (multiplicity 2)
W  0.250  0.250  0.500 (multiplicity 4)
Cl  0.000  0.500  0.000 (multiplicity 2)

Relative energies, kJ/mol of atoms: run one 38.6; run two 31.4; run three 0.0; run four 52.9.